Record 1
Crystalline NaOsS2Cl at its relaxed geometry, computed with PBE.

Offset from the most stable computed form   0.0 meV/atom
Space-group type   P4/mmm, No. 123
DOS(E_F)   3.22 states/eV/cell

Cell: 4.4964 4.4964 5.6807 Å, 90.00 90.00 90.00°
Element x y z (fractional)
Na: 0.0000 0.0000 0.0000
Os: 0.5000 0.5000 0.5000
S: 0.0000 0.5000 0.5000
S: 0.5000 0.0000 0.5000
Cl: 0.5000 0.5000 0.0000

---

Record 2
Crystalline NaOsS2Cl at its relaxed geometry, computed with PBE.

Offset from the most stable computed form   1727.9 meV/atom
Space-group type   P4/mmm, No. 123
DOS(E_F)   7.22 states/eV/cell

Cell: 4.9101 4.9101 4.7047 Å, 90.00 90.00 90.00°
Element x y z (fractional)
Na: 0.0000 0.0000 0.0000
Os: 0.5000 0.5000 0.5000
S: 0.0000 0.5000 0.0000
S: 0.5000 0.0000 0.0000
Cl: 0.0000 0.0000 0.5000

---

Record 3
Crystalline NaTaOsCl2 at its relaxed geometry, computed with PBE.

Space-group type   P4/mmm, No. 123
DOS(E_F)   2.89 states/eV/cell

Cell: 4.9473 4.9473 4.9861 Å, 90.00 90.00 90.00°
Element x y z (fractional)
Na: 0.0000 0.0000 0.0000
Ta: 0.5000 0.5000 0.5000
Os: 0.5000 0.5000 0.0000
Cl: 0.0000 0.5000 0.5000
Cl: 0.5000 0.0000 0.5000

---

| no. | energy (eV per atom) | formation energy without anion corrections (meV/atom) |
| --- | --- | --- |
| 1 | -4.7417 | -212 |
| 2 | -3.0138 | 1516 |
| 3 | -5.3178 | 301 |